No. 1
# Na5Ga2Sn5 PBE relaxed
data_Na5Ga2Sn5
_cell_length_a 10.1808
_cell_length_b 5.4509
_cell_length_c 12.7154
_cell_angle_alpha 90.00
_cell_angle_beta 102.48
_cell_angle_gamma 90.00
_space_group_name_H-M_alt 'C 1 2/m 1'
_space_group_IT_number 12
_space_group_name_Hall '-C 2y'
loop_
_atom_site_label
_atom_site_type_symbol
_atom_site_fract_x
_atom_site_fract_y
_atom_site_fract_z
Na1 Na 0.0000 0.0000 0.0000
Na2 Na 0.1614 0.0000 0.5391
Na3 Na 0.2305 0.5000 0.1321
Ga1 Ga 0.0740 0.5000 0.3064
Sn1 Sn 0.0000 0.5000 0.5000
Sn2 Sn 0.1147 0.5000 0.8780
Sn3 Sn 0.2388 0.0000 0.2995
# calculated total energy: -2.804 eV/atom
# calculated formation energy: -0.0824 eV/atom

***

No. 2
# Sc2Zn2As PBE relaxed
data_Sc2Zn2As
_cell_length_a 6.6919
_cell_length_b 6.6919
_cell_length_c 4.1752
_cell_angle_alpha 90.00
_cell_angle_beta 90.00
_cell_angle_gamma 90.00
_space_group_name_H-M_alt 'P 4/m b m'
_space_group_IT_number 127
_space_group_name_Hall '-P 4 2ab'
loop_
_atom_site_label
_atom_site_type_symbol
_atom_site_fract_x
_atom_site_fract_y
_atom_site_fract_z
Sc1 Sc 0.1676 0.3324 0.0000
Zn1 Zn 0.1288 0.6288 0.5000
As1 As 0.0000 0.0000 0.5000
# calculated total energy: -4.413 eV/atom
# calculated formation energy: -0.4406 eV/atom

***

No. 3
# Sr2Ga3Hg2 PBE relaxed
data_Sr2Ga3Hg2
_cell_length_a 11.5213
_cell_length_b 4.8055
_cell_length_c 7.0175
_cell_angle_alpha 90.00
_cell_angle_beta 112.37
_cell_angle_gamma 90.00
_space_group_name_H-M_alt 'C 1 2/m 1'
_space_group_IT_number 12
_space_group_name_Hall '-C 2y'
loop_
_atom_site_label
_atom_site_type_symbol
_atom_site_fract_x
_atom_site_fract_y
_atom_site_fract_z
Sr1 Sr 0.1483 0.0000 0.2708
Ga1 Ga 0.0000 0.5000 0.5000
Ga2 Ga 0.0794 0.5000 0.9072
Hg1 Hg 0.1598 0.0000 0.7688
# calculated total energy: -2.244 eV/atom
# calculated formation energy: -0.3798 eV/atom

***

No. 4
# GeAs3Pt PBE relaxed
data_GeAs3Pt
_cell_length_a 4.9385
_cell_length_b 4.9385
_cell_length_c 4.9385
_cell_angle_alpha 90.00
_cell_angle_beta 90.00
_cell_angle_gamma 90.00
_space_group_name_H-M_alt 'P m -3 m'
_space_group_IT_number 221
_space_group_name_Hall '-P 4 2 3'
loop_
_atom_site_label
_atom_site_type_symbol
_atom_site_fract_x
_atom_site_fract_y
_atom_site_fract_z
Ge1 Ge 0.0000 0.0000 0.0000
As1 As 0.0000 0.5000 0.5000
Pt1 Pt 0.5000 0.5000 0.5000
# calculated total energy: -4.258 eV/atom
# calculated formation energy: 0.6632 eV/atom

***

No. 5
# HoMnNb2C4 PBE relaxed
data_HoMnNb2C4
_cell_length_a 3.2132
_cell_length_b 11.0607
_cell_length_c 10.8967
_cell_angle_alpha 90.00
_cell_angle_beta 90.00
_cell_angle_gamma 90.00
_space_group_name_H-M_alt 'C m c m'
_space_group_IT_number 63
_space_group_name_Hall '-C 2c 2'
loop_
_atom_site_label
_atom_site_type_symbol
_atom_site_fract_x
_atom_site_fract_y
_atom_site_fract_z
Ho1 Ho 0.0000 0.1010 0.2500
Mn1 Mn 0.0000 0.1638 0.7500
Nb1 Nb 0.0000 0.3696 0.0411
C1 C 0.0000 0.0000 0.0000
C2 C 0.0000 0.2654 0.6196
C3 C 0.0000 0.4264 0.2500
# calculated total energy: -9.155 eV/atom
# calculated formation energy: -0.3067 eV/atom

***

No. 6
# ZnMoAsSe2 PBE relaxed
data_ZnMoAsSe2
_cell_length_a 4.8977
_cell_length_b 4.8977
_cell_length_c 4.7114
_cell_angle_alpha 90.00
_cell_angle_beta 90.00
_cell_angle_gamma 90.00
_space_group_name_H-M_alt 'P 4/m m m'
_space_group_IT_number 123
_space_group_name_Hall '-P 4 2'
loop_
_atom_site_label
_atom_site_type_symbol
_atom_site_fract_x
_atom_site_fract_y
_atom_site_fract_z
Zn1 Zn 0.0000 0.0000 0.0000
Mo1 Mo 0.5000 0.5000 0.5000
As1 As 0.0000 0.0000 0.5000
Se1 Se 0.0000 0.5000 0.0000
# E_form (uncorrected): 0.952 eV per atom
# calculated total energy: -3.793 eV/atom

***

No. 7
# Ca2TaBeMo PBE relaxed
data_Ca2TaBeMo
_cell_length_a 4.8346
_cell_length_b 4.8346
_cell_length_c 4.8221
_cell_angle_alpha 90.00
_cell_angle_beta 90.00
_cell_angle_gamma 90.00
_space_group_name_H-M_alt 'P 4/m m m'
_space_group_IT_number 123
_space_group_name_Hall '-P 4 2'
loop_
_atom_site_label
_atom_site_type_symbol
_atom_site_fract_x
_atom_site_fract_y
_atom_site_fract_z
Ca1 Ca 0.0000 0.5000 0.0000
Ta1 Ta 0.0000 0.0000 0.5000
Be1 Be 0.0000 0.0000 0.0000
Mo1 Mo 0.5000 0.5000 0.5000
# calculated total energy: -4.721 eV/atom
# calculated formation energy: 1.3612 eV/atom

***

No. 8
# TiAlAg PBE relaxed
data_TiAlAg
_cell_length_a 10.8917
_cell_length_b 3.0006
_cell_length_c 6.3004
_cell_angle_alpha 90.00
_cell_angle_beta 103.96
_cell_angle_gamma 90.00
_space_group_name_H-M_alt 'C 1 2/m 1'
_space_group_IT_number 12
_space_group_name_Hall '-C 2y'
loop_
_atom_site_label
_atom_site_type_symbol
_atom_site_fract_x
_atom_site_fract_y
_atom_site_fract_z
Ti1 Ti 0.1811 0.0000 0.1108
Al1 Al 0.0226 0.5000 0.7942
Ag1 Ag 0.1446 0.0000 0.5479
# calculated total energy: -4.990 eV/atom
# calculated formation energy: -0.1608 eV/atom

***

> Number 5 is which compound?

HoMnNb2C4

***

> Look up the calculated total energy of the sixth one.

-3.793 eV/atom

***

> What is the formula in the third record?

Sr2Ga3Hg2